<a>
GdDyAsO | PBE | optimized geometry

Unit cell a=4.157 b=7.724 c=5.860 alpha=90.00 beta=90.00 gamma=90.00
Positions (direct):
Dy 0.000 0.709 0.438
As 0.000 0.655 0.930
O 0.500 0.825 0.383
Dy 0.000 0.291 0.938
As 0.000 0.345 0.430
Gd 0.500 0.885 0.003
Gd 0.500 0.115 0.503
O 0.500 0.175 0.883

Calculated values
SG: No. 26

<b>
GdDyAsO | PBE | optimized geometry

Unit cell a=4.190 b=7.627 c=5.953 alpha=90.00 beta=90.00 gamma=90.00
Positions (direct):
As 0.000 0.162 0.930
O 0.500 0.669 0.876
O 0.500 0.331 0.376
Dy 0.500 0.388 0.010
Gd 0.000 0.790 0.939
Gd 0.000 0.210 0.439
Dy 0.500 0.612 0.510
As 0.000 0.838 0.430

Calculated values
SG: No. 26

We find <b> to be the most stable, with the next structure 0.017 eV/atom higher.

<a>
CdSnTeO | PBE | optimized geometry

Unit cell a=7.618 b=7.618 c=6.514 alpha=90.00 beta=90.00 gamma=31.45
Positions (direct):
O 0.417 0.417 0.019
Te 0.160 0.160 0.024
Cd 0.451 0.451 0.356
Cd 0.549 0.549 0.856
Sn 0.160 0.160 0.494
O 0.583 0.583 0.519
Te 0.840 0.840 0.524
Sn 0.840 0.840 0.994

Calculated values
SG: No. 36

<b>
CdSnTeO | PBE | optimized geometry

Unit cell a=7.061 b=8.659 c=13.263 alpha=90.00 beta=90.00 gamma=90.00
Positions (direct):
Cd 0.584 0.807 0.922
Cd 0.416 0.193 0.078
Cd 0.584 0.693 0.422
O 0.576 0.668 0.770
Cd 0.916 0.307 0.922
Te 0.771 0.060 0.042
Te 0.271 0.060 0.458
Sn 0.830 0.531 0.757
O 0.924 0.168 0.770
O 0.924 0.332 0.270
Cd 0.084 0.693 0.078
Cd 0.084 0.807 0.578
O 0.076 0.832 0.230
Sn 0.830 0.969 0.257
O 0.424 0.168 0.730
Te 0.229 0.940 0.958
Cd 0.916 0.193 0.422
Sn 0.670 0.469 0.257
O 0.076 0.668 0.730
Sn 0.170 0.469 0.243
O 0.424 0.332 0.230
Sn 0.170 0.031 0.743
Cd 0.416 0.307 0.578
Sn 0.330 0.531 0.743
Te 0.729 0.560 0.042
O 0.576 0.832 0.270
Sn 0.670 0.031 0.757
Te 0.771 0.440 0.542
Te 0.271 0.440 0.958
Te 0.229 0.560 0.458
Te 0.729 0.940 0.542
Sn 0.330 0.969 0.243

Calculated values
SG: No. 61

We find <a> to be the most stable, with the next structure 0.009 eV/atom higher.

<a>
DyY2Er2Tm2Ni2Te2 | PBE | optimized geometry

Unit cell a=9.315 b=9.315 c=9.315 alpha=156.22 beta=67.21 gamma=118.18
Positions (direct):
Ni 0.640 0.404 0.235
Ni 0.169 0.404 0.765
Y 0.764 0.895 0.869
Er 0.411 0.097 0.314
Dy 0.476 0.476 0.000
Tm 0.101 0.748 0.353
Tm 0.395 0.748 0.647
Er 0.782 0.097 0.686
Te 0.739 0.239 0.500
Y 0.027 0.895 0.131
Te 0.143 0.143 0.000

Calculated values
SG: No. 44

<b>
DyY2Er2Tm2Ni2Te2 | PBE | optimized geometry

Unit cell a=9.313 b=9.313 c=9.313 alpha=156.25 beta=67.06 gamma=118.32
Positions (direct):
Ni 0.641 0.402 0.238
Er 0.028 0.895 0.133
Te 0.743 0.243 0.500
Er 0.763 0.895 0.867
Tm 0.100 0.747 0.353
Te 0.141 0.141 0.000
Y 0.414 0.098 0.315
Y 0.783 0.098 0.685
Ni 0.164 0.402 0.762
Tm 0.394 0.747 0.647
Dy 0.476 0.476 0.000

Calculated values
SG: No. 44

We find <a> to be the most stable, with the next structure 0.009 eV/atom higher.